# Hf3CdO

Hf3CdO after structural relaxation (PBE-GGA, the Alexandria database).

```
Hf3CdO
1.0
4.4596 0.0000 0.0000
0.0000 4.4596 0.0000
0.0000 0.0000 4.4596
Hf O Cd
3 1 1
Direct
0.0000 0.0000 0.5000
0.5000 0.0000 0.0000
0.0000 0.5000 0.0000
0.0000 0.0000 0.0000
0.5000 0.5000 0.5000
```

Excess energy over the best structure of this formula in the dataset = 0.0 kJ/mol of atoms
Magnetic moment = 0.00 μB per cell
ρ = 12.43 g/cm3
Space-group type = Pm-3m (221)
Energy = -8.06 eV per atom

---

# PuPaAgOs

PuPaAgOs after structural relaxation (PBE-GGA, the Alexandria database).

```
PuPaAgOs
1.0
-1.8298 4.1721 1.9569
-4.8293 0.3236 1.0760
-1.4865 0.0759 4.7296
Pa Os Ag Pu
1 1 1 1
Direct
0.7500 0.7500 0.7500
0.0000 0.0000 0.0000
0.5000 0.5000 0.5000
0.2500 0.2500 0.2500
```

Formation energy = 0.067 eV/atom
Magnetic moment = 5.75 μB per cell
ρ = 14.89 g/cm3
Space-group type = F-43m (216)
Energy = -9.41 eV per atom